# 1
## SrBe3Se (PBE)

Data for SrBe3Se after structural relaxation.

**Formation energy from raw total energies**: 999 kJ/mol of formula units
**Distance to the lowest polymorph of the same formula**: 1306 meV/atom
**Theoretical density**: 1.902 g/cm3

Cell: 5.5294 5.5294 5.5294 Å, 90.00 90.00 90.00°
Fractional positions:
Sr  0.0000  0.0000  0.0000
Be  0.0000  0.0000  0.5000
Be  0.0000  0.5000  0.0000
Be  0.5000  0.0000  0.0000
Se  0.5000  0.5000  0.5000

---

# 2
## InBi4Au4 (PBE)

Data for InBi4Au4 after structural relaxation.

**Theoretical density**: 11.134 g/cm3
**ΔH_f (0 K)**: 0.031 eV per atom

Cell: 7.2581 7.2581 9.8441 Å, 90.00 90.00 90.00°
Fractional positions:
In  0.2500  0.7500  0.2500
In  0.7500  0.2500  0.7500
Bi  0.0043  0.2500  0.1073
Bi  0.2500  0.0043  0.6073
Bi  0.2500  0.4957  0.6073
Bi  0.4957  0.2500  0.1073
Bi  0.5043  0.7500  0.8927
Bi  0.7500  0.5043  0.3927
Bi  0.7500  0.9957  0.3927
Bi  0.9957  0.7500  0.8927
Au  0.0583  0.2500  0.4019
Au  0.2500  0.0583  0.9019
Au  0.2500  0.4417  0.9019
Au  0.4417  0.2500  0.4019
Au  0.5583  0.7500  0.5981
Au  0.7500  0.5583  0.0981
Au  0.7500  0.9417  0.0981
Au  0.9417  0.7500  0.5981

---

# 3
## ThInIr (PBE)

Data for ThInIr after structural relaxation.

**Theoretical density**: 12.770 g/cm3
**ΔH_f (0 K)**: -0.675 eV per atom

Cell: 4.2574 4.2574 7.7348 Å, 90.00 90.00 90.00°
Fractional positions:
Th  0.2500  0.2500  0.1485
Th  0.7500  0.7500  0.8515
In  0.2500  0.7500  0.5000
In  0.7500  0.2500  0.5000
Ir  0.2500  0.2500  0.7775
Ir  0.7500  0.7500  0.2225

---

# 4
## Eu2TlCu (PBE)

Data for Eu2TlCu after structural relaxation.

**Distance to the lowest polymorph of the same formula**: 321 meV/atom
**Theoretical density**: 6.553 g/cm3
**ΔH_f (0 K)**: 0.087 eV per atom

Cell: 10.5758 10.5758 10.5758 Å, 21.95 21.95 21.95°
Fractional positions:
Eu  0.1089  0.1089  0.1089
Eu  0.8911  0.8911  0.8911
Tl  0.0000  0.0000  0.0000
Cu  0.5000  0.5000  0.5000